4
Lattice="3.418 0.000 0.000 0.000 3.418 0.000 0.000 0.000 7.241" Properties=species:S:1:pos:R:3 comment="PmZrPd2 (PBE, optimized geometry)" dft_energy_ev_per_atom=-6.5830 dos_at_fermi_per_ev_atom=1.133 delta_e_f_mev_per_atom=-662 pbc="T T T"
Pm 1.709 1.709 3.620
Zr 1.709 1.709 0.000
Pd 0.000 0.000 5.728
Pd 0.000 0.000 1.513